{
  "formula": "Al2VCoTe",
  "functional": "PBE",
  "state": "relaxed",
  "sg": "P4/mmm (123)",
  "raw_formation_energy_mev_per_atom": 627,
  "energy_ev_per_atom": -4.743,
  "dos_ef_per_ev_fu": 6.2,
  "lattice": [[4.3636, 0.0000, 0.0000], [0.0000, 4.3636, 0.0000], [0.0000, 0.0000, 5.1892]],
  "species": ["Al", "Al", "V", "Co", "Te"],
  "fractional_positions": [[0.0000, 0.5000, 0.0000], [0.5000, 0.0000, 0.0000], [0.0000, 0.0000, 0.5000], [0.5000, 0.5000, 0.0000], [0.5000, 0.5000, 0.5000]]
}


{
  "formula": "Tb4Tl3Ni",
  "functional": "PBE",
  "state": "relaxed",
  "sg": "P4/mmm (123)",
  "formation_enthalpy_0k_kj_per_mol_atoms": -34,
  "energy_ev_per_atom": -4.277,
  "dos_ef_per_ev_fu": 7.2,
  "lattice": [[3.5693, 0.0000, 0.0000], [0.0000, 3.5693, 0.0000], [0.0000, 0.0000, 16.1006]],
  "species": ["Tb", "Tb", "Tb", "Tb", "Tl", "Tl", "Tl", "Ni"],
  "fractional_positions": [[0.0000, 0.0000, 0.0999], [0.0000, 0.0000, 0.3667], [0.0000, 0.0000, 0.6333], [0.0000, 0.0000, 0.9001], [0.5000, 0.5000, 0.2352], [0.5000, 0.5000, 0.5000], [0.5000, 0.5000, 0.7648], [0.5000, 0.5000, 0.0000]]
}


{
  "formula": "InPbCl3",
  "functional": "PBE",
  "state": "relaxed",
  "sg": "Pnma (62)",
  "raw_formation_energy_mev_per_atom": -1021,
  "energy_ev_per_atom": -3.418,
  "dos_ef_per_ev_fu": 0.0,
  "lattice": [[8.0841, 0.0000, 0.0000], [0.0000, 4.4841, 0.0000], [0.0000, 0.0000, 16.8618]],
  "species": ["In", "In", "In", "In", "Pb", "Pb", "Pb", "Pb", "Cl", "Cl", "Cl", "Cl", "Cl", "Cl", "Cl", "Cl", "Cl", "Cl", "Cl", "Cl"],
  "fractional_positions": [[0.1172, 0.2500, 0.2118], [0.3828, 0.7500, 0.7118], [0.6172, 0.2500, 0.2882], [0.8828, 0.7500, 0.7882], [0.2370, 0.7500, 0.4604], [0.2630, 0.2500, 0.9604], [0.7370, 0.7500, 0.0396], [0.7630, 0.2500, 0.5396], [0.0162, 0.2500, 0.4079], [0.1309, 0.7500, 0.0547], [0.1797, 0.2500, 0.7911], [0.3203, 0.7500, 0.2911], [0.3691, 0.2500, 0.5547], [0.4838, 0.7500, 0.9079], [0.5162, 0.2500, 0.0921], [0.6309, 0.7500, 0.4453], [0.6797, 0.2500, 0.7089], [0.8203, 0.7500, 0.2089], [0.8691, 0.2500, 0.9453], [0.9838, 0.7500, 0.5921]]
}